No. 1
# NaPmPr | OQMD via LeMat-Bulk | GGA-PBE | relaxed
data_NaPmPr
_cell_length_a 5.4462
_cell_length_b 5.4462
_cell_length_c 5.4462
_cell_angle_alpha 60.00
_cell_angle_beta 60.00
_cell_angle_gamma 60.00
_symmetry_space_group_name_H-M 'P 1'
_symmetry_Int_Tables_number 1
_symmetry_space_group_name_Hall 'P 1'
loop_
_atom_site_label
_atom_site_type_symbol
_atom_site_fract_x
_atom_site_fract_y
_atom_site_fract_z
Pm1 Pm 0.2500 0.2500 0.2500
Pr1 Pr 0.7500 0.7500 0.7500
Na1 Na 0.0000 0.0000 0.0000
# SG: F-43m (216)
# Raw total energy (eV/atom): -2.891



No. 2
# PrTa3C | OQMD via LeMat-Bulk | GGA-PBE | relaxed
data_PrTa3C
_cell_length_a 4.4918
_cell_length_b 4.4918
_cell_length_c 4.4918
_cell_angle_alpha 90.00
_cell_angle_beta 90.00
_cell_angle_gamma 90.00
_symmetry_space_group_name_H-M 'P 1'
_symmetry_Int_Tables_number 1
_symmetry_space_group_name_Hall 'P 1'
loop_
_atom_site_label
_atom_site_type_symbol
_atom_site_fract_x
_atom_site_fract_y
_atom_site_fract_z
Pr1 Pr 0.5000 0.5000 0.5000
Ta1 Ta 0.0000 0.0000 0.5000
Ta2 Ta 0.0000 0.5000 0.0000
Ta3 Ta 0.5000 0.0000 0.0000
C1 C 0.0000 0.0000 0.0000
# SG: Pm-3m (221)
# Raw total energy (eV/atom): -9.677